Entry 1:
Ho2Sn2BIr4: relaxed, PBE.

Summary:
energy of formation: -389 meV/atom
crystal system: tetragonal
calculated volume: 17.85 Å³/atom

Cell lengths 6.083, 6.083, 8.682 Å; angles 90.00, 90.00, 90.00 degrees
Space group I4/mmm (No. 139)
Inequivalent atoms, fractional coordinates:
1 Ho 0.000 0.000 0.211 (multiplicity 4)
2 Sn 0.000 0.500 0.250 (multiplicity 4)
3 B 0.000 0.000 0.500 (multiplicity 2)
4 Ir 0.242 0.242 0.500 (multiplicity 8)

Entry 2:
KHo3B4O12: relaxed, PBE.

Summary:
crystal system: trigonal
calculated volume: 13.62 Å³/atom
ΔE_f (raw): -2.71 eV per atom

Cell lengths 10.2872, 10.2872, 8.9182 Å; angles 90.00, 90.00, 120.00 degrees
Space group R32 (No. 155, hexagonal axes)
Inequivalent atoms, fractional coordinates:
1 K 0.0000 0.0000 0.0000 (multiplicity 3)
2 Ho 0.0000 0.5468 0.0000 (multiplicity 9)
3 B 0.0000 0.0000 0.5000 (multiplicity 3)
4 B 0.0000 0.4577 0.5000 (multiplicity 9)
5 O 0.0000 0.5921 0.5000 (multiplicity 9)
6 O 0.0000 0.8646 0.5000 (multiplicity 9)
7 O 0.0073 0.2125 0.1984 (multiplicity 18)

Entry 3:
LaHo2B6: relaxed, PBE.

Summary:
energy of formation: -425 meV/atom
crystal system: hexagonal
calculated volume: 12.59 Å³/atom

Cell lengths 5.7204, 5.7204, 3.9987 Å; angles 90.00, 90.00, 120.00 degrees
Space group P6/mmm (No. 191)
Inequivalent atoms, fractional coordinates:
1 La 0.0000 0.0000 0.0000 (multiplicity 1)
2 Ho 0.3333 0.6667 0.0000 (multiplicity 2)
3 B 0.0000 0.3423 0.5000 (multiplicity 6)

Entry 4:
LaHo3B: relaxed, PBE.

Summary:
energy of formation: 37 meV/atom
crystal system: cubic
calculated volume: 27.66 Å³/atom

Cell lengths 5.172, 5.172, 5.172 Å; angles 90.00, 90.00, 90.00 degrees
Space group Pm-3m (No. 221)
Inequivalent atoms, fractional coordinates:
1 La 0.000 0.000 0.000 (multiplicity 1)
2 Ho 0.000 0.500 0.500 (multiplicity 3)
3 B 0.500 0.500 0.500 (multiplicity 1)

Entry 5:
LaHoB: relaxed, PBE.

Summary:
energy of formation: 159 meV/atom
crystal system: orthorhombic
calculated volume: 22.91 Å³/atom

Cell lengths 5.517, 11.806, 16.887 Å; angles 90.00, 90.00, 90.00 degrees
Space group Fmmm (No. 69)
Inequivalent atoms, fractional coordinates:
1 La 0.000 0.134 0.084 (multiplicity 16)
2 Ho 0.000 0.131 0.311 (multiplicity 16)
3 B 0.000 0.000 0.449 (multiplicity 8)
4 B 0.000 0.130 0.500 (multiplicity 8)

Entry 6:
LaHoB12: relaxed, PBE.

Summary:
energy of formation: -473 meV/atom
crystal system: tetragonal
calculated volume: 10.01 Å³/atom

Cell lengths 4.123, 4.123, 8.245 Å; angles 90.00, 90.00, 90.00 degrees
Space group P4/mmm (No. 123)
Inequivalent atoms, fractional coordinates:
1 La 0.000 0.000 0.000 (multiplicity 1)
2 Ho 0.000 0.000 0.500 (multiplicity 1)
3 B 0.199 0.500 0.253 (multiplicity 8)
4 B 0.500 0.500 0.101 (multiplicity 2)
5 B 0.500 0.500 0.402 (multiplicity 2)

Entry 7:
La3HoB2N6: relaxed, PBE.

Summary:
crystal system: trigonal
calculated volume: 14.86 Å³/atom
ΔE_f (raw): -1.27 eV per atom

Cell lengths 5.6459, 5.6459, 6.4577 Å; angles 90.00, 90.00, 120.00 degrees
Space group P-3m1 (No. 164)
Inequivalent atoms, fractional coordinates:
1 La 0.0000 0.0000 0.0000 (multiplicity 1)
2 La 0.3333 0.6667 0.6698 (multiplicity 2)
3 Ho 0.0000 0.0000 0.5000 (multiplicity 1)
4 B 0.3333 0.6667 0.2545 (multiplicity 2)
5 N 0.1844 0.3688 0.2770 (multiplicity 6)

Entry 8:
LaHo3B4O12: relaxed, PBE.

Summary:
crystal system: trigonal
calculated volume: 12.81 Å³/atom
ΔE_f (raw): -3.10 eV per atom

Cell lengths 10.1850, 10.1850, 8.5552 Å; angles 90.00, 90.00, 120.00 degrees
Space group R32 (No. 155, hexagonal axes)
Inequivalent atoms, fractional coordinates:
1 La 0.0000 0.0000 0.0000 (multiplicity 3)
2 Ho 0.0000 0.5379 0.0000 (multiplicity 9)
3 B 0.0000 0.0000 0.5000 (multiplicity 3)
4 B 0.0000 0.4610 0.5000 (multiplicity 9)
5 O 0.0000 0.5969 0.5000 (multiplicity 9)
6 O 0.0000 0.8641 0.5000 (multiplicity 9)
7 O 0.0064 0.2016 0.1741 (multiplicity 18)

Entry 9:
LiHoB: relaxed, PBE.

Summary:
energy of formation: -29 meV/atom
crystal system: monoclinic
calculated volume: 19.62 Å³/atom

Cell lengths 8.676, 3.737, 7.340 Å; angles 90.00, 98.29, 90.00 degrees
Space group C2/m (No. 12)
Inequivalent atoms, fractional coordinates:
1 Li 0.133 0.000 0.407 (multiplicity 4)
2 Ho 0.117 0.500 0.835 (multiplicity 4)
3 B 0.076 0.000 0.074 (multiplicity 4)

Entry 10:
LiHoB4: relaxed, PBE.

Summary:
energy of formation: 428 meV/atom
crystal system: cubic
calculated volume: 10.94 Å³/atom

Cell lengths 6.403, 6.403, 6.403 Å; angles 90.00, 90.00, 90.00 degrees
Space group F-43m (No. 216)
Inequivalent atoms, fractional coordinates:
1 Li 0.000 0.000 0.000 (multiplicity 4)
2 Ho 0.250 0.250 0.250 (multiplicity 4)
3 B 0.096 0.096 0.596 (multiplicity 16)

Entry 11:
LiHoB4: relaxed, PBE.

Summary:
energy of formation: -408 meV/atom
crystal system: orthorhombic
calculated volume: 10.09 Å³/atom

Cell lengths 5.931, 11.323, 3.605 Å; angles 90.00, 90.00, 90.00 degrees
Space group Pbam (No. 55)
Inequivalent atoms, fractional coordinates:
1 Li 0.129 0.085 0.000 (multiplicity 4)
2 Ho 0.125 0.349 0.000 (multiplicity 4)
3 B 0.026 0.807 0.500 (multiplicity 4)
4 B 0.115 0.955 0.500 (multiplicity 4)
5 B 0.133 0.530 0.500 (multiplicity 4)
6 B 0.215 0.687 0.500 (multiplicity 4)

Entry 12:
LiHoB14: relaxed, PBE.

Summary:
energy of formation: -285 meV/atom
crystal system: orthorhombic
calculated volume: 7.85 Å³/atom

Cell lengths 5.874, 10.403, 8.227 Å; angles 90.00, 90.00, 90.00 degrees
Space group Imma (No. 74)
Inequivalent atoms, fractional coordinates:
1 Li 0.250 0.250 0.250 (multiplicity 4)
2 Ho 0.000 0.250 0.629 (multiplicity 4)
3 B 0.000 0.089 0.173 (multiplicity 8)
4 B 0.000 0.149 0.372 (multiplicity 8)
5 B 0.000 0.166 0.973 (multiplicity 8)
6 B 0.158 0.059 0.840 (multiplicity 16)
7 B 0.250 0.080 0.047 (multiplicity 16)

Entry 13:
LiHoB12: relaxed, PBE.

Summary:
energy of formation: -256 meV/atom
crystal system: tetragonal
calculated volume: 9.96 Å³/atom

Cell lengths 4.114, 4.114, 8.233 Å; angles 90.00, 90.00, 90.00 degrees
Space group P4/mmm (No. 123)
Inequivalent atoms, fractional coordinates:
1 Li 0.000 0.000 0.000 (multiplicity 1)
2 Ho 0.000 0.000 0.500 (multiplicity 1)
3 B 0.200 0.500 0.252 (multiplicity 8)
4 B 0.500 0.500 0.101 (multiplicity 2)
5 B 0.500 0.500 0.401 (multiplicity 2)

Entry 14:
LiHo2Ni12B3: relaxed, PBE.

Summary:
energy of formation: -49 meV/atom
crystal system: trigonal
calculated volume: 12.85 Å³/atom

Cell lengths 7.2241, 7.2241, 15.3485 Å; angles 90.00, 90.00, 120.00 degrees
Space group R-3m (No. 166, hexagonal axes)
Inequivalent atoms, fractional coordinates:
1 Li 0.0000 0.0000 0.0000 (multiplicity 3)
2 Ho 0.0000 0.0000 0.3996 (multiplicity 6)
3 Ni 0.0168 0.5084 0.3758 (multiplicity 18)
4 Ni 0.0647 0.5323 0.8121 (multiplicity 18)
5 B 0.0000 0.5000 0.5000 (multiplicity 9)

Entry 15:
LiHo2BO5: relaxed, PBE.

Summary:
crystal system: orthorhombic
calculated volume: 10.48 Å³/atom
ΔE_f (raw): -2.84 eV per atom

Cell lengths 3.084, 12.969, 9.435 Å; angles 90.00, 90.00, 90.00 degrees
Space group Cmc2_1 (No. 36)
Inequivalent atoms, fractional coordinates:
1 Li 0.000 0.191 0.000 (multiplicity 4)
2 Ho 0.000 0.124 0.648 (multiplicity 4)
3 Ho 0.000 0.138 0.300 (multiplicity 4)
4 B 0.000 0.442 0.381 (multiplicity 4)
5 O 0.000 0.029 0.960 (multiplicity 4)
6 O 0.000 0.294 0.662 (multiplicity 4)
7 O 0.000 0.336 0.346 (multiplicity 4)
8 O 0.000 0.344 0.984 (multiplicity 4)
9 O 0.000 0.497 0.752 (multiplicity 4)

Entry 16:
LiHo2BPt6: relaxed, PBE.

Summary:
energy of formation: -827 meV/atom
crystal system: orthorhombic
calculated volume: 17.52 Å³/atom

Cell lengths 5.589, 8.644, 7.253 Å; angles 90.00, 90.00, 90.00 degrees
Space group Pmmn (No. 59, origin choice 2)
Inequivalent atoms, fractional coordinates:
1 Li 0.250 0.250 0.185 (multiplicity 2)
2 Ho 0.250 0.536 0.792 (multiplicity 4)
3 B 0.250 0.750 0.302 (multiplicity 2)
4 Pt 0.001 0.250 0.911 (multiplicity 4)
5 Pt 0.008 0.250 0.480 (multiplicity 4)
6 Pt 0.250 0.505 0.371 (multiplicity 4)

Entry 17:
LiHoB2Pt5: relaxed, PBE.

Summary:
energy of formation: -685 meV/atom
crystal system: tetragonal
calculated volume: 14.11 Å³/atom

Cell lengths 3.882, 3.882, 8.429 Å; angles 90.00, 90.00, 90.00 degrees
Space group P4/mmm (No. 123)
Inequivalent atoms, fractional coordinates:
1 Li 0.000 0.000 0.000 (multiplicity 1)
2 Ho 0.000 0.000 0.500 (multiplicity 1)
3 B 0.500 0.500 0.386 (multiplicity 2)
4 Pt 0.000 0.500 0.244 (multiplicity 4)
5 Pt 0.500 0.500 0.000 (multiplicity 1)

Entry 18:
LiHo2B2Rh5: relaxed, PBE.

Summary:
energy of formation: -693 meV/atom
crystal system: tetragonal
calculated volume: 14.24 Å³/atom

Cell lengths 9.467, 9.467, 3.178 Å; angles 90.00, 90.00, 90.00 degrees
Space group P4/mbm (No. 127)
Inequivalent atoms, fractional coordinates:
1 Li 0.000 0.000 0.000 (multiplicity 2)
2 Ho 0.175 0.325 0.000 (multiplicity 4)
3 B 0.125 0.625 0.000 (multiplicity 4)
4 Rh 0.000 0.500 0.500 (multiplicity 2)
5 Rh 0.070 0.781 0.500 (multiplicity 8)

E in eV/f.u., matching the order above: -62.79; -155.32; -57.97; -25.16; -15.70; -96.26; -97.88; -166.95; -13.26; -30.64; -35.65; -104.54; -90.21; -101.36; -68.14; -62.26; -56.21; -68.11